Record 1
DFT (PBE-GGA) results for a geometry-optimized LaAuO3 structure.

Summary:
As for the space-group type: Pbcm, No. 57. The value obtained for the total energy is -6.50 eV/atom.

Unit cell a=4.0152 b=13.0760 c=5.7165 alpha=90.00 beta=90.00 gamma=90.00
Fractional coordinates of all 20 atoms:
La: 0.2364 0.0808 0.2500
La: 0.2364 0.4192 0.7500
La: 0.7636 0.5808 0.2500
La: 0.7636 0.9192 0.7500
Au: 0.4295 0.6704 0.7500
Au: 0.4295 0.8296 0.2500
Au: 0.5705 0.1704 0.7500
Au: 0.5705 0.3296 0.2500
O: 0.2415 0.5783 0.5034
O: 0.2415 0.5783 0.9966
O: 0.2415 0.9217 0.0034
O: 0.2415 0.9217 0.4966
O: 0.3200 0.2500 0.0000
O: 0.3200 0.2500 0.5000
O: 0.6800 0.7500 0.0000
O: 0.6800 0.7500 0.5000
O: 0.7585 0.0783 0.5034
O: 0.7585 0.0783 0.9966
O: 0.7585 0.4217 0.0034
O: 0.7585 0.4217 0.4966


Record 2
DFT (PBE-GGA) results for a geometry-optimized LaPAuO structure.

Summary:
The distance to the lowest polymorph of the same formula comes out at 353 meV per atom. As for the space-group type: Pmc2_1, No. 26.

Unit cell a=3.9536 b=7.5464 c=6.1964 alpha=90.00 beta=90.00 gamma=90.00
Fractional coordinates of all 8 atoms:
La: 0.0000 0.2385 0.0000
La: 0.0000 0.7615 0.5000
P: 0.0000 0.1553 0.5000
P: 0.0000 0.8447 0.0000
Au: 0.5000 0.3245 0.5008
Au: 0.5000 0.6755 0.0008
O: 0.5000 0.3683 0.0008
O: 0.5000 0.6317 0.5008


Record 3
DFT (PBE-GGA) results for a geometry-optimized LaPAuO structure.

Summary:
The distance to the lowest polymorph of the same formula comes out at 635 meV per atom. As for the space-group type: P4/nmm, No. 129.

Unit cell a=5.7531 b=5.7531 c=4.6631 alpha=90.00 beta=90.00 gamma=90.00
Fractional coordinates of all 8 atoms:
La: 0.2500 0.7500 0.0000
La: 0.7500 0.2500 0.0000
P: 0.2500 0.2500 0.0108
P: 0.7500 0.7500 0.9892
Au: 0.2500 0.2500 0.5114
Au: 0.7500 0.7500 0.4886
O: 0.2500 0.7500 0.5000
O: 0.7500 0.2500 0.5000


Record 4
DFT (PBE-GGA) results for a geometry-optimized LaPAuO structure.

Summary:
The distance to the lowest polymorph of the same formula comes out at 0 meV per atom. As for the space-group type: P4/nmm, No. 129.

Unit cell a=4.2009 b=4.2009 c=8.4365 alpha=90.00 beta=90.00 gamma=90.00
Fractional coordinates of all 8 atoms:
La: 0.2500 0.2500 0.1381
La: 0.7500 0.7500 0.8619
P: 0.2500 0.2500 0.6731
P: 0.7500 0.7500 0.3269
Au: 0.2500 0.7500 0.5000
Au: 0.7500 0.2500 0.5000
O: 0.2500 0.7500 0.0000
O: 0.7500 0.2500 0.0000